Entry 1:
DFT (PBE) results for a geometry-optimized Ac2SmP3Pt12 structure. Values from VASP.

The structure in Quantum ESPRESSO input format:
```
&SYSTEM
  ibrav = 0, nat = 18, ntyp = 4
/
ATOMIC_SPECIES
Ac 227.00 Ac.upf
Sm 150.36 Sm.upf
P 30.97 P.upf
Pt 195.08 Pt.upf
CELL_PARAMETERS angstrom
4.180 2.413 6.305
-4.180 2.413 6.305
0.000 -4.827 6.305
ATOMIC_POSITIONS angstrom
Ac 0.000 0.000 1.955
Ac 0.000 0.000 16.961
Sm 0.000 0.000 9.458
P -2.090 -1.207 6.305
P -2.090 1.207 12.611
P 0.000 2.413 6.305
Pt -2.260 -1.305 8.623
Pt 0.000 -2.100 5.879
Pt -1.819 1.050 5.879
Pt 0.000 -2.610 10.294
Pt -2.260 1.305 10.294
Pt -1.819 -1.050 13.038
Pt 1.819 1.050 5.879
Pt 2.260 -1.305 8.623
Pt 0.000 2.610 8.623
Pt 1.819 -1.050 13.038
Pt 0.000 2.100 13.038
Pt 2.260 1.305 10.294
```

Calculated values
D(E_F): 6.783 states/eV/cell
uncorrected energy: -110.584 eV/f.u.
M_tot: 0.0000 μB/atom

***

Entry 2:
DFT (PBE) results for a geometry-optimized AcSn2P2Pt7 structure. Values from VASP.

The structure in Quantum ESPRESSO input format:
```
&SYSTEM
  ibrav = 0, nat = 12, ntyp = 4
/
ATOMIC_SPECIES
Ac 227.00 Ac.upf
Sn 118.71 Sn.upf
P 30.97 P.upf
Pt 195.08 Pt.upf
CELL_PARAMETERS angstrom
2.823 -3.458 0.000
2.823 3.458 0.000
-0.740 0.000 12.432
ATOMIC_POSITIONS angstrom
Ac 0.000 0.000 0.000
Sn 0.441 0.000 7.691
Sn 4.465 0.000 4.741
P 1.561 0.000 2.888
P 3.345 0.000 9.545
Pt 1.421 1.383 10.038
Pt 1.562 0.000 5.180
Pt 3.484 1.383 2.394
Pt 2.823 0.000 0.000
Pt 1.421 -1.383 10.038
Pt 3.343 0.000 7.252
Pt 3.484 -1.383 2.394
```

Calculated values
D(E_F): 5.163 states/eV/cell
uncorrected energy: -71.703 eV/f.u.
M_tot: 0.0000 μB/atom

***

Entry 3:
DFT (PBE) results for a geometry-optimized SrAcP2Pt4 structure. Values from VASP.

The structure in Quantum ESPRESSO input format:
```
&SYSTEM
  ibrav = 0, nat = 8, ntyp = 4
/
ATOMIC_SPECIES
Sr 87.62 Sr.upf
Ac 227.00 Ac.upf
P 30.97 P.upf
Pt 195.08 Pt.upf
CELL_PARAMETERS angstrom
4.527 0.000 0.000
0.000 4.527 0.000
0.000 0.000 9.117
ATOMIC_POSITIONS angstrom
Sr 0.000 0.000 0.000
Ac 0.000 0.000 4.558
P 2.263 2.263 1.742
P 2.263 2.263 7.375
Pt 0.000 2.263 2.356
Pt 0.000 2.263 6.761
Pt 2.263 0.000 2.356
Pt 2.263 0.000 6.761
```

Calculated values
D(E_F): 2.407 states/eV/cell
uncorrected energy: -47.506 eV/f.u.
M_tot: 0.0000 μB/atom

***

Entry 4:
DFT (PBE) results for a geometry-optimized SrAcPPt structure. Values from VASP.

The structure in Quantum ESPRESSO input format:
```
&SYSTEM
  ibrav = 0, nat = 4, ntyp = 4
/
ATOMIC_SPECIES
Sr 87.62 Sr.upf
Ac 227.00 Ac.upf
P 30.97 P.upf
Pt 195.08 Pt.upf
CELL_PARAMETERS angstrom
0.000 3.742 3.742
3.742 0.000 3.742
3.742 3.742 0.000
ATOMIC_POSITIONS angstrom
Sr 0.000 0.000 0.000
Ac 3.742 3.742 3.742
P 1.871 1.871 1.871
Pt 5.613 5.613 5.613
```

Calculated values
uncorrected energy: -21.170 eV/f.u.
M_tot: 0.0000 μB/atom

***

Repeat the third record exactly.
DFT (PBE) results for a geometry-optimized SrAcP2Pt4 structure. Values from VASP.

The structure in Quantum ESPRESSO input format:
```
&SYSTEM
  ibrav = 0, nat = 8, ntyp = 4
/
ATOMIC_SPECIES
Sr 87.62 Sr.upf
Ac 227.00 Ac.upf
P 30.97 P.upf
Pt 195.08 Pt.upf
CELL_PARAMETERS angstrom
4.527 0.000 0.000
0.000 4.527 0.000
0.000 0.000 9.117
ATOMIC_POSITIONS angstrom
Sr 0.000 0.000 0.000
Ac 0.000 0.000 4.558
P 2.263 2.263 1.742
P 2.263 2.263 7.375
Pt 0.000 2.263 2.356
Pt 0.000 2.263 6.761
Pt 2.263 0.000 2.356
Pt 2.263 0.000 6.761
```

Calculated values
D(E_F): 2.407 states/eV/cell
uncorrected energy: -47.506 eV/f.u.
M_tot: 0.0000 μB/atom